Entry 1:
A relaxed LiZr2Rh crystal, computed with GGA-PBE.

DOS at the Fermi energy in states/eV/cell: 3.3
Calculated formation energy in eV per atom: -0.05

Cell and atoms, written as POSCAR:
```
LiZr2Rh
1.0
1.632 0.942 8.921
-1.632 0.942 8.921
0.000 -1.884 8.921
Li Zr Rh
1 2 1
direct
0.000 0.000 0.000 Li
0.240 0.240 0.240 Zr
0.760 0.760 0.760 Zr
0.500 0.500 0.500 Rh
```

=====

Entry 2:
A relaxed CePm4SmSe8 crystal, computed with GGA-PBE.

DOS at the Fermi energy in states/eV/cell: 14.0
E_form (uncorrected) in meV/atom: -1716

Cell and atoms, written as POSCAR:
```
CePm4SmSe8
1.0
4.335 2.503 7.068
-4.335 2.503 7.068
0.000 -5.005 7.068
Ce Pm Sm Se
1 4 1 8
direct
0.000 0.000 0.000 Ce
0.125 0.625 0.625 Pm
0.250 0.250 0.250 Pm
0.625 0.125 0.625 Pm
0.625 0.625 0.125 Pm
0.625 0.625 0.625 Sm
0.382 0.382 0.382 Se
0.383 0.383 0.852 Se
0.383 0.852 0.383 Se
0.404 0.864 0.864 Se
0.852 0.383 0.383 Se
0.864 0.404 0.864 Se
0.864 0.864 0.404 Se
0.865 0.865 0.865 Se
```

=====

Entry 3:
A relaxed LaZnRu2 crystal, computed with GGA-PBE.

DOS at the Fermi energy in states/eV/cell: 4.4
Calculated formation energy in eV per atom: 0.17

Cell and atoms, written as POSCAR:
```
LaZnRu2
1.0
2.986 0.000 0.000
0.000 4.310 0.000
-0.605 0.000 5.670
La Zn Ru
1 1 2
direct
0.000 0.000 0.000 La
0.500 0.000 0.500 Zn
0.278 0.500 0.698 Ru
0.722 0.500 0.302 Ru
```

=====

Entry 4:
A relaxed Pr8AlIr2 crystal, computed with GGA-PBE.

DOS at the Fermi energy in states/eV/cell: 13.8
Calculated formation energy in eV per atom: -0.25

Cell and atoms, written as POSCAR:
```
Pr8AlIr2
1.0
4.495 -6.882 0.000
4.495 6.882 0.000
-1.403 0.000 5.488
Pr Al Ir
8 1 2
direct
0.074 0.324 0.562 Pr
0.247 0.753 0.000 Pr
0.324 0.074 0.562 Pr
0.386 0.386 0.192 Pr
0.614 0.614 0.808 Pr
0.676 0.926 0.438 Pr
0.753 0.247 0.000 Pr
0.926 0.676 0.438 Pr
0.000 0.000 0.000 Al
0.304 0.696 0.500 Ir
0.696 0.304 0.500 Ir
```

=====

Entry 5:
A relaxed Ce2BiH3 crystal, computed with GGA-PBE.

DOS at the Fermi energy in states/eV/cell: 23.9
E_tot in eV per cell: -58.81

Cell and atoms, written as POSCAR:
```
Ce2BiH3
1.0
7.819 -2.047 0.000
7.819 2.047 0.000
-3.035 0.000 6.612
Ce Bi H
4 2 6
direct
0.025 0.025 0.261 Ce
0.304 0.304 0.335 Ce
0.696 0.696 0.665 Ce
0.975 0.975 0.739 Ce
0.363 0.363 0.943 Bi
0.637 0.637 0.057 Bi
0.097 0.097 0.622 H
0.190 0.190 0.470 H
0.445 0.445 0.599 H
0.555 0.555 0.401 H
0.810 0.810 0.530 H
0.903 0.903 0.378 H
```

=====

Entry 6:
A relaxed K6Cd2AgO crystal, computed with GGA-PBE.

DOS at the Fermi energy in states/eV/cell: 6.7
E_form (uncorrected) in meV/atom: -259

Cell and atoms, written as POSCAR:
```
K6Cd2AgO
1.0
-4.207 4.216 5.957
4.207 -4.216 5.957
4.207 4.216 -5.957
K Cd Ag O
6 2 1 1
direct
0.221 0.221 0.000 K
0.221 0.221 0.442 K
0.221 0.779 0.000 K
0.779 0.221 0.000 K
0.779 0.779 0.000 K
0.779 0.779 0.558 K
0.251 0.751 0.500 Cd
0.749 0.249 0.500 Cd
0.500 0.500 0.000 Ag
0.000 0.000 0.000 O
```

=====

Entry 7:
A relaxed ScS3F crystal, computed with GGA-PBE.

DOS at the Fermi energy in states/eV/cell: 2.8
E_form (uncorrected) in meV/atom: -85

Cell and atoms, written as POSCAR:
```
ScS3F
1.0
4.372 0.000 0.000
0.000 4.372 0.000
0.000 0.000 4.372
Sc S F
1 3 1
direct
0.000 0.000 0.000 Sc
0.000 0.500 0.500 S
0.500 0.000 0.500 S
0.500 0.500 0.000 S
0.500 0.500 0.500 F
```

=====

Entry 8:
A relaxed La2Tl2I crystal, computed with GGA-PBE.

DOS at the Fermi energy in states/eV/cell: 11.1
E_form (uncorrected) in meV/atom: -412

Cell and atoms, written as POSCAR:
```
La2Tl2I
1.0
9.202 0.000 0.000
0.000 9.202 0.000
0.000 0.000 4.007
La Tl I
4 4 2
direct
0.183 0.317 0.000 La
0.317 0.817 0.000 La
0.683 0.183 0.000 La
0.817 0.683 0.000 La
0.117 0.617 0.500 Tl
0.383 0.117 0.500 Tl
0.617 0.883 0.500 Tl
0.883 0.383 0.500 Tl
0.000 0.000 0.500 I
0.500 0.500 0.500 I
```

=====

Entry 9:
A relaxed Rb3AuBrCl crystal, computed with GGA-PBE.

DOS at the Fermi energy in states/eV/cell: 0.0
E_form (uncorrected) in meV/atom: -1272

Cell and atoms, written as POSCAR:
```
Rb3AuBrCl
1.0
8.457 0.000 0.000
0.000 4.729 0.000
-2.724 0.000 12.793
Rb Au Br Cl
6 2 2 2
direct
0.044 0.250 0.153 Rb
0.254 0.250 0.495 Rb
0.446 0.750 0.845 Rb
0.554 0.250 0.155 Rb
0.746 0.750 0.505 Rb
0.956 0.750 0.847 Rb
0.353 0.750 0.299 Au
0.647 0.250 0.701 Au
0.134 0.750 0.642 Br
0.866 0.250 0.358 Br
0.235 0.250 0.955 Cl
0.765 0.750 0.045 Cl
```

=====

Entry 10:
A relaxed Sc4TiRu5 crystal, computed with GGA-PBE.

DOS at the Fermi energy in states/eV/cell: 9.0
Calculated formation energy in eV per atom: -0.59

Cell and atoms, written as POSCAR:
```
Sc4TiRu5
1.0
3.176 0.000 0.000
0.000 3.176 0.000
0.000 0.000 15.985
Sc Ti Ru
4 1 5
direct
0.000 0.000 0.101 Sc
0.000 0.000 0.302 Sc
0.000 0.000 0.698 Sc
0.000 0.000 0.899 Sc
0.000 0.000 0.500 Ti
0.500 0.500 0.000 Ru
0.500 0.500 0.203 Ru
0.500 0.500 0.408 Ru
0.500 0.500 0.592 Ru
0.500 0.500 0.797 Ru
```

=====

Entry 11:
A relaxed LiCd4Ga crystal, computed with GGA-PBE.

DOS at the Fermi energy in states/eV/cell: 1.9
Calculated formation energy in eV per atom: -0.10

Cell and atoms, written as POSCAR:
```
LiCd4Ga
1.0
2.173 -6.452 0.000
2.173 6.452 0.000
0.000 0.000 4.379
Li Cd Ga
1 4 1
direct
0.000 0.000 0.000 Li
0.159 0.841 0.500 Cd
0.339 0.661 0.000 Cd
0.661 0.339 0.000 Cd
0.841 0.159 0.500 Cd
0.500 0.500 0.500 Ga
```

=====

Entry 12:
A relaxed Li2TlInTe crystal, computed with GGA-PBE.

DOS at the Fermi energy in states/eV/cell: 5.4
E_form (uncorrected) in meV/atom: 129

Cell and atoms, written as POSCAR:
```
Li2TlInTe
1.0
5.231 0.000 0.000
0.000 5.231 0.000
0.000 0.000 5.510
Li Tl In Te
2 1 1 1
direct
0.000 0.500 0.000 Li
0.500 0.000 0.000 Li
0.000 0.000 0.000 Tl
0.000 0.000 0.500 In
0.500 0.500 0.500 Te
```

=====

Entry 13:
A relaxed Si2AgAs crystal, computed with GGA-PBE.

DOS at the Fermi energy in states/eV/cell: 1.1
E_form (uncorrected) in meV/atom: 328

Cell and atoms, written as POSCAR:
```
Si2AgAs
1.0
5.820 -1.396 0.000
5.820 1.396 0.000
-1.900 0.000 4.315
Si Ag As
2 1 1
direct
0.245 0.245 0.256 Si
0.755 0.755 0.744 Si
0.500 0.500 0.500 Ag
0.000 0.000 0.000 As
```

=====

Entry 14:
A relaxed Be2CoAg crystal, computed with GGA-PBE.

DOS at the Fermi energy in states/eV/cell: 2.2
Calculated formation energy in eV per atom: 0.17

Cell and atoms, written as POSCAR:
```
Be2CoAg
1.0
3.680 -1.326 0.000
3.680 1.326 0.000
-0.887 0.000 4.692
Be Co Ag
2 1 1
direct
0.239 0.239 0.185 Be
0.761 0.761 0.815 Be
0.500 0.500 0.000 Co
0.000 0.000 0.500 Ag
```

=====

Entry 15:
A relaxed Y5AlTe4 crystal, computed with GGA-PBE.

DOS at the Fermi energy in states/eV/cell: 3.7
E_form (uncorrected) in meV/atom: -1160

Cell and atoms, written as POSCAR:
```
Y5AlTe4
1.0
-4.881 4.881 3.071
4.881 -4.881 3.071
4.881 4.881 -3.071
Y Al Te
5 1 4
direct
0.000 0.000 0.000 Y
0.218 0.404 0.621 Y
0.404 0.782 0.186 Y
0.596 0.218 0.814 Y
0.782 0.596 0.379 Y
0.500 0.500 0.000 Al
0.094 0.696 0.790 Te
0.304 0.094 0.398 Te
0.696 0.906 0.602 Te
0.906 0.304 0.210 Te
```

=====

Entry 16:
A relaxed Ca2NiPt crystal, computed with GGA-PBE.

DOS at the Fermi energy in states/eV/cell: 2.8
Calculated formation energy in eV per atom: -0.37

Cell and atoms, written as POSCAR:
```
Ca2NiPt
1.0
-1.834 2.258 5.206
1.834 -2.258 5.206
1.834 2.258 -5.206
Ca Ni Pt
2 1 1
direct
0.000 0.000 0.000 Ca
0.719 0.219 0.500 Ca
0.276 0.776 0.500 Ni
0.445 0.445 0.000 Pt
```

=====

Entry 17:
A relaxed CeZn2Ni2Ge crystal, computed with GGA-PBE.

DOS at the Fermi energy in states/eV/cell: 10.2
Calculated formation energy in eV per atom: -0.16

Cell and atoms, written as POSCAR:
```
CeZn2Ni2Ge
1.0
4.396 0.000 0.000
0.000 4.396 0.000
0.000 0.000 5.689
Ce Zn Ni Ge
1 2 2 1
direct
0.000 0.000 0.000 Ce
0.500 0.500 0.246 Zn
0.500 0.500 0.754 Zn
0.000 0.500 0.500 Ni
0.500 0.000 0.500 Ni
0.000 0.000 0.500 Ge
```

=====

Entry 18:
A relaxed MoPtW crystal, computed with GGA-PBE.

DOS at the Fermi energy in states/eV/cell: 3.7
Calculated formation energy in eV per atom: 0.11

Cell and atoms, written as POSCAR:
```
MoPtW
1.0
-1.660 1.660 4.387
1.660 -1.660 4.387
1.660 1.660 -4.387
Mo Pt W
1 1 1
direct
0.000 0.000 0.000 Mo
0.677 0.677 0.000 Pt
0.350 0.350 0.000 W
```

=====

Entry 19:
A relaxed TaHg crystal, computed with GGA-PBE.

DOS at the Fermi energy in states/eV/cell: 2.1
Calculated formation energy in eV per atom: 0.93

Cell and atoms, written as POSCAR:
```
TaHg
1.0
4.480 0.000 0.000
-2.240 3.880 0.000
0.000 0.000 5.268
Ta Hg
2 2
direct
0.000 0.000 0.000 Ta
0.000 0.000 0.500 Ta
0.333 0.667 0.250 Hg
0.667 0.333 0.750 Hg
```

=====

Entry 20:
A relaxed HfCdSb2Te crystal, computed with GGA-PBE.

DOS at the Fermi energy in states/eV/cell: 5.4
E_form (uncorrected) in meV/atom: 165

Cell and atoms, written as POSCAR:
```
HfCdSb2Te
1.0
5.568 0.000 0.000
0.000 5.568 0.000
0.000 0.000 5.508
Hf Cd Sb Te
1 1 2 1
direct
0.000 0.000 0.000 Hf
0.500 0.500 0.500 Cd
0.000 0.500 0.000 Sb
0.500 0.000 0.000 Sb
0.000 0.000 0.500 Te
```

=====

Entry 21:
A relaxed Cs2NaCdHg6 crystal, computed with GGA-PBE.

DOS at the Fermi energy in states/eV/cell: 6.3
Calculated formation energy in eV per atom: -0.13

Cell and atoms, written as POSCAR:
```
Cs2NaCdHg6
1.0
0.000 5.900 5.900
5.900 0.000 5.900
5.900 5.900 0.000
Cs Na Cd Hg
2 1 1 6
direct
0.250 0.250 0.250 Cs
0.750 0.750 0.750 Cs
0.000 0.000 0.000 Na
0.500 0.500 0.500 Cd
0.251 0.251 0.749 Hg
0.251 0.749 0.251 Hg
0.251 0.749 0.749 Hg
0.749 0.251 0.251 Hg
0.749 0.251 0.749 Hg
0.749 0.749 0.251 Hg
```

=====

Entry 22:
A relaxed SmAl2Rh crystal, computed with GGA-PBE.

DOS at the Fermi energy in states/eV/cell: 2.8
Calculated formation energy in eV per atom: -0.71

Cell and atoms, written as POSCAR:
```
SmAl2Rh
1.0
2.112 1.219 5.264
-2.112 1.219 5.264
0.000 -2.438 5.264
Sm Al Rh
1 2 1
direct
0.000 0.000 0.000 Sm
0.208 0.208 0.208 Al
0.792 0.792 0.792 Al
0.500 0.500 0.500 Rh
```

=====

Number 1: calculated volume 20.6 Å³ per atom. Number 2: calculated volume 32.9 Å³ per atom. Number 3: calculated volume 18.2 Å³ per atom. Number 4: calculated volume 30.9 Å³ per atom. Number 5: calculated volume 17.6 Å³ per atom. Number 6: calculated volume 42.3 Å³ per atom. Number 7: calculated volume 16.7 Å³ per atom. Number 8: calculated volume 33.9 Å³ per atom. Number 9: calculated volume 42.6 Å³ per atom. Number 10: calculated volume 16.1 Å³ per atom. Number 11: calculated volume 20.5 Å³ per atom. Number 12: calculated volume 30.2 Å³ per atom. Number 13: calculated volume 17.5 Å³ per atom. Number 14: calculated volume 11.4 Å³ per atom. Number 15: calculated volume 29.3 Å³ per atom. Number 16: calculated volume 21.6 Å³ per atom. Number 17: calculated volume 18.3 Å³ per atom. Number 18: calculated volume 16.1 Å³ per atom. Number 19: calculated volume 22.9 Å³ per atom. Number 20: calculated volume 34.2 Å³ per atom. Number 21: calculated volume 41.1 Å³ per atom. Number 22: calculated volume 20.3 Å³ per atom.